Below is ZrTe2As after structural relaxation, with properties calculated at the PBE level.

Output
Crystal system: tetragonal
Uncorrected energy: -4.95 eV/atom
Formation energy (no corrections): -0.08 eV/atom

Unit cell a=4.3261 b=4.3261 c=10.2075 alpha=90.00 beta=90.00 gamma=90.00
Last column: nearest neighbours and their distance in Å.
Space group I-4m2 (No. 119)
Inequivalent atoms, fractional coordinates:
Zr: 0.0000 0.0000 0.0000 x2  8 Te 3.06-3.35, 4 As 3.35
Te: 0.0000 0.0000 0.5000 x2  4 Zr 3.06, 4 As 3.35, 4 Te 3.35
Te: 0.0000 0.5000 0.2500 x2  4 As 3.06, 4 Zr 3.35, 4 Te 3.35
As: 0.0000 0.5000 0.7500 x2  8 Te 3.06-3.35, 4 Zr 3.35

Below is ZrTe2As after structural relaxation, with properties calculated at the PBE level.

Output
Crystal system: monoclinic
Uncorrected energy: -5.28 eV/atom
Formation energy (no corrections): -0.41 eV/atom

Unit cell a=14.5349 b=3.6949 c=4.3122 alpha=90.00 beta=101.67 gamma=90.00
Last column: nearest neighbours and their distance in Å.
Space group C2/m (No. 12)
Inequivalent atoms, fractional coordinates:
Zr: 0.0000 0.0000 0.0000 x2  4 As 2.84, 4 Te 2.99
Te: 0.1627 0.5000 0.2075 x4  1 As 2.90, 2 Zr 2.99
As: 0.0000 0.5000 0.5000 x2  4 Zr 2.84, 2 Te 2.90

Below is ThAs after structural relaxation, with properties calculated at the PBE level.

Output
Crystal system: cubic
Uncorrected energy: -7.15 eV/atom
DFT formation energy: -1118 meV per atom

Unit cell a=3.6513 b=3.6513 c=3.6513 alpha=90.00 beta=90.00 gamma=90.00
Last column: nearest neighbours and their distance in Å.
Space group Pm-3m (No. 221)
Inequivalent atoms, fractional coordinates:
Th: 0.0000 0.0000 0.0000 x1  8 As 3.16
As: 0.5000 0.5000 0.5000 x1  8 Th 3.16

Below is ThAs6 after structural relaxation, with properties calculated at the PBE level.

Output
Crystal system: cubic
Uncorrected energy: -4.55 eV/atom
DFT formation energy: 497 meV per atom

Unit cell a=7.2245 b=7.2245 c=7.2245 alpha=90.00 beta=90.00 gamma=90.00
Last column: nearest neighbours and their distance in Å.
Space group Im-3m (No. 229)
Inequivalent atoms, fractional coordinates:
Th: 0.0000 0.0000 0.0000 x2  24 As 4.04
As: 0.0000 0.2500 0.5000 x12  4 As 2.55

Below is ThAs2 after structural relaxation, with properties calculated at the PBE level.

Output
Crystal system: monoclinic
Uncorrected energy: -6.62 eV/atom
DFT formation energy: -1051 meV per atom

Unit cell a=4.1189 b=4.1296 c=8.5586 alpha=90.00 beta=90.18 gamma=90.00
Last column: nearest neighbours and their distance in Å.
Space group P2_1/m (No. 11)
Inequivalent atoms, fractional coordinates:
Th: 0.2491 0.2500 0.2179 x2  9 As 2.99-3.18
As: 0.2488 0.7500 0.4998 x2  4 As 2.91-2.92, 4 Th 3.17-3.18
As: 0.2515 0.2500 0.8601 x2  5 Th 2.99-3.06

Below is Th3As after structural relaxation, with properties calculated at the PBE level.

Output
Crystal system: orthorhombic
Uncorrected energy: -7.17 eV/atom
DFT formation energy: -446 meV per atom

Unit cell a=3.8227 b=9.6755 c=6.4476 alpha=90.00 beta=90.00 gamma=90.00
Last column: nearest neighbours and their distance in Å.
Space group Imm2 (No. 44)
Inequivalent atoms, fractional coordinates:
Th: 0.0000 0.0000 0.0000 x2  2 As 2.96
Th: 0.0000 0.2016 0.4262 x4  3 As 3.09-3.40, 1 Th 3.37
As: 0.0000 0.5000 0.1489 x2  6 Th 2.96-3.09

Below is Th6As5 after structural relaxation, with properties calculated at the PBE level.

Output
Crystal system: monoclinic
Uncorrected energy: -7.33 eV/atom
DFT formation energy: -1170 meV per atom

Unit cell a=7.3001 b=12.6049 c=7.3090 alpha=90.00 beta=109.49 gamma=90.00
Last column: nearest neighbours and their distance in Å.
Space group C2/m (No. 12)
Inequivalent atoms, fractional coordinates:
Th: 0.2482 0.1669 0.2475 x8  5 As 2.96-2.99
Th: 0.2496 0.0000 0.7480 x4  5 As 2.97-2.99
As: 0.0000 0.1695 0.5000 x4  6 Th 2.96-2.99
As: 0.0000 0.3346 0.0000 x4  6 Th 2.97-2.98
As: 0.0000 0.5000 0.5000 x2  6 Th 2.97-2.99

Below is ThAs after structural relaxation, with properties calculated at the PBE level.

Output
Crystal system: monoclinic
Uncorrected energy: -7.20 eV/atom
DFT formation energy: -1169 meV per atom

Unit cell a=3.9305 b=4.5921 c=6.0900 alpha=90.00 beta=108.96 gamma=90.00
Last column: nearest neighbours and their distance in Å.
Space group P2_1/m (No. 11)
Inequivalent atoms, fractional coordinates:
Th: 0.1225 0.2500 0.2558 x2  6 As 3.02-3.34
As: 0.3957 0.2500 0.7797 x2  6 Th 3.02-3.34